Ac3Pr2ThSe6 after structural relaxation, computed with PBE-GGA.

a = 7.500 Å, b = 7.500 Å, c = 7.611 Å
α = 99.49°, β = 99.49°, γ = 120.11°
Fractional coordinates of all 12 atoms:
Ac 0.000 0.000 0.000
Ac 0.331 0.669 0.000
Ac 0.669 0.331 0.000
Pr 0.166 0.834 0.500
Pr 0.834 0.166 0.500
Th 0.500 0.500 0.500
Se 0.092 0.422 0.265
Se 0.250 0.250 0.739
Se 0.422 0.092 0.265
Se 0.578 0.908 0.735
Se 0.750 0.750 0.261
Se 0.908 0.578 0.735

Calculated values
Uncorrected formation energy ... -1.794 eV per atom
SG ... C2/m, No. 12

---

K2CoW after structural relaxation, computed with PBE-GGA.

a = 6.588 Å, b = 6.588 Å, c = 2.753 Å
α = 100.59°, β = 100.59°, γ = 130.08°
Fractional coordinates of all 4 atoms:
K 0.000 0.500 0.000
K 0.500 0.000 0.000
Co 0.000 0.000 0.500
W 0.500 0.500 0.500

Calculated values
SG ... C2/m, No. 12

---

Number 1: total magnetization 0.000 μB per atom, raw total energy -71.735 eV per cell. Number 2: total magnetization 0.236 μB per atom, raw total energy -16.084 eV per cell.